PBE-GGA TlCdAs2, relaxed; D(E_F) = 0.27 states/eV per atom; relative energy among the computed polymorphs = 238.7 meV/atom; density = 8.4 Mg/m³
1.0
3.966 0.000 0.000
0.000 4.967 0.000
0.000 0.000 4.707
Tl As Cd
1 2 1
direct
0.000 0.500 0.500
0.000 0.000 0.000
0.500 0.500 0.000
0.500 0.000 0.500

***

PBE-GGA Tl2CdAs, relaxed; D(E_F) = 0.44 states/eV per atom; relative energy among the computed polymorphs = 118.8 meV/atom; density = 9.5 Mg/m³
1.0
3.298 0.000 0.000
0.000 5.706 -0.216
0.000 3.490 5.430
Tl As Cd
2 1 1
direct
0.000 0.000 0.000
0.500 0.500 0.000
0.500 0.500 0.500
0.000 0.000 0.500

***

PBE-GGA TlCdAs2, relaxed; D(E_F) = 0.16 states/eV per atom; relative energy among the computed polymorphs = 47.3 meV/atom; density = 7.7 Mg/m³
1.0
3.600 0.000 0.000
0.000 3.039 -0.015
0.000 1.368 9.136
Tl As Cd
1 2 1
direct
0.500 0.806 0.757
0.000 0.164 0.037
0.500 0.080 0.231
0.000 0.449 0.475

***

PBE-GGA TlCd4As, relaxed; D(E_F) = 0.61 states/eV per atom; density = 8.3 Mg/m³
1.0
0.000 4.183 4.183
4.183 0.000 4.183
4.183 4.183 0.000
Tl Cd As
1 4 1
direct
0.750 0.750 0.750
0.375 0.876 0.375
0.876 0.375 0.375
0.375 0.375 0.876
0.375 0.375 0.375
0.000 0.000 0.000

***

PBE-GGA TlCdAs, relaxed; D(E_F) = 0.42 states/eV per atom; density = 8.4 Mg/m³
1.0
6.577 0.009 -0.022
4.585 4.715 0.022
-5.355 -2.897 2.488
Tl As Cd
1 1 1
direct
0.660 0.660 0.000
0.977 0.977 0.000
0.363 0.363 0.000

***

PBE-GGA Tl2CdAs, relaxed; D(E_F) = 0.32 states/eV per atom; relative energy among the computed polymorphs = 107.7 meV/atom; density = 9.4 Mg/m³
1.0
5.820 0.112 -0.074
4.848 3.222 -0.074
1.213 0.379 5.773
Tl As Cd
2 1 1
direct
0.010 0.010 0.994
0.490 0.490 0.506
0.750 0.750 0.750
0.250 0.250 0.250

***

| no. | formation energy from the elements (eV per atom) |
| --- | --- |
| 1 | 0.2890 |
| 2 | 0.1709 |
| 3 | 0.0976 |
| 4 | 0.1824 |
| 5 | 0.1354 |
| 6 | 0.1598 |